<A>
Crystalline Mg3ReAs at its relaxed geometry. Source: Alexandria via LeMat-Bulk, functional GGA-PBE.

a = 4.9061 Å, b = 4.9061 Å, c = 4.9061 Å
α = 90.00°, β = 90.00°, γ = 90.00°
Closest atoms and distances in Å follow each position.
Space group Pm-3m (No. 221)
Asymmetric unit:
Mg 0.0000 0.0000 0.5000 x3  2 As 2.45
Re 0.5000 0.5000 0.5000 x1  12 Mg 3.47
As 0.0000 0.0000 0.0000 x1  6 Mg 2.45

Computed properties:
crystal system	cubic
Fermi-level density of states	3.25	states/eV/f.u.

<B>
Crystalline Mg3ReAs at its relaxed geometry. Source: Alexandria via LeMat-Bulk, functional GGA-PBE.

a = 5.0297 Å, b = 5.0297 Å, c = 5.0297 Å
α = 90.00°, β = 90.00°, γ = 90.00°
Closest atoms and distances in Å follow each position.
Space group Pm-3m (No. 221)
Asymmetric unit:
Mg 0.0000 0.0000 0.5000 x3  2 Re 2.51
Re 0.0000 0.0000 0.0000 x1  6 Mg 2.51
As 0.5000 0.5000 0.5000 x1  12 Mg 3.56

Computed properties:
crystal system	cubic
Fermi-level density of states	3.29	states/eV/f.u.

Which is the most stable structure? <A> is the most stable.

<A>
Crystalline MgRe3As at its relaxed geometry. Source: Alexandria via LeMat-Bulk, functional GGA-PBE.

a = 4.5731 Å, b = 4.5731 Å, c = 4.5731 Å
α = 90.00°, β = 90.00°, γ = 90.00°
Closest atoms and distances in Å follow each position.
Space group Pm-3m (No. 221)
Asymmetric unit:
Mg 0.0000 0.0000 0.0000 x1  12 Re 3.23
Re 0.0000 0.5000 0.5000 x3  2 As 2.29
As 0.5000 0.5000 0.5000 x1  6 Re 2.29

Computed properties:
crystal system	cubic
Fermi-level density of states	3.61	states/eV/f.u.

<B>
Crystalline MgRe3As at its relaxed geometry. Source: Alexandria via LeMat-Bulk, functional GGA-PBE.

a = 4.5418 Å, b = 4.5418 Å, c = 4.5418 Å
α = 90.00°, β = 90.00°, γ = 90.00°
Closest atoms and distances in Å follow each position.
Space group Pm-3m (No. 221)
Asymmetric unit:
Mg 0.0000 0.0000 0.0000 x1  6 Re 2.27
Re 0.0000 0.0000 0.5000 x3  2 Mg 2.27
As 0.5000 0.5000 0.5000 x1  12 Re 3.21

Computed properties:
crystal system	cubic
Fermi-level density of states	6.23	states/eV/f.u.

Which is the most stable structure? <A> is the most stable.